# CaRuWO6, optimized geometry, DFT GGA+U
data_CaRuWO6
_chemical_formula_sum 'Ca2 Ru2 W2 O12'
_symmetry_space_group_name_H-M 'P 42 n m'
_symmetry_Int_Tables_number 102
_cell_length_a 4.867
_cell_length_b 4.867
_cell_length_c 9.512
_cell_angle_alpha 90.00
_cell_angle_beta 90.00
_cell_angle_gamma 90.00
loop_
_symmetry_equiv_pos_as_xyz
'x,y,z'
'-y+1/2,x+1/2,z+1/2'
'-x,-y,z'
'y+1/2,-x+1/2,z+1/2'
'-x+1/2,y+1/2,z+1/2'
'y,x,z'
'x+1/2,-y+1/2,z+1/2'
'-y,-x,z'
loop_
_atom_site_label
_atom_site_fract_x
_atom_site_fract_y
_atom_site_fract_z
Ca1 0.000 0.000 0.000
Ru1 0.000 0.000 0.327
W1 0.000 0.000 0.666
O1 0.172 0.172 0.499
O2 0.210 0.210 0.803
O3 0.217 0.217 0.183
# - Fermi-level density of states: 3.19 states/eV/f.u.
# - Calculated total energy: -129.65 eV for the cell shown
# - M_tot: 0.2249 μB per atom
# - Volume: 112.7 Å³/f.u.
# - Density: 6.21 g cm⁻³